Density functional theory data (SCAN) for a PBEsol-optimized structure of CdSi2As.

Structure (CIF):
```
data_CdSi2As
_cell_length_a 4.659
_cell_length_b 4.659
_cell_length_c 4.659
_cell_angle_alpha 60.00
_cell_angle_beta 60.00
_cell_angle_gamma 60.00
_space_group_name_H-M_alt 'P 1'
_space_group_IT_number 1
loop_
_space_group_symop_operation_xyz
'x,y,z'
loop_
_atom_site_label
_atom_site_type_symbol
_atom_site_fract_x
_atom_site_fract_y
_atom_site_fract_z
Cd1 Cd 0.500 0.500 0.500
Si1 Si 0.750 0.750 0.750
Si2 Si 0.250 0.250 0.250
As1 As 0.000 0.000 0.000
```

## Properties
energy above the most stable polymorph in this dataset = 3.73 kcal/mol of atoms
space-group type = Fm-3m (225)
M_tot = 0.000 Bohr magnetons per cell
ρ = 5.65 g/cm3
formation energy without anion corrections = 0.70 eV per atom
volume = 17.88 Å³ per atom
density of states at the Fermi level = 0.52 states/eV per atom